{
  "formula": "Ac2InHPt6",
  "functional": "PBE",
  "state": "relaxed",
  "dft_energy_ev_per_atom": -5.759,
  "lattice": [[2.956, 1.707, 6.478], [-2.956, 1.707, 6.478], [0.000, -3.413, 6.478]],
  "species": ["Ac", "Ac", "In", "H", "Pt", "Pt", "Pt", "Pt", "Pt", "Pt"],
  "fractional_positions": [[0.227, 0.227, 0.227], [0.773, 0.773, 0.773], [0.500, 0.500, 0.500], [0.000, 0.000, 0.000], [0.226, 0.226, 0.724], [0.226, 0.724, 0.226], [0.276, 0.774, 0.774], [0.724, 0.226, 0.226], [0.774, 0.276, 0.774], [0.774, 0.774, 0.276]]
}